(1)
A plane-wave DFT calculation with PBE was carried out for a geometry-optimized TaIn2Mo2S6 structure.

```
11
Lattice="5.797 -0.093 0.225 -2.946 4.993 0.225 -0.746 -1.282 8.419" Properties=species:S:1:pos:R:3 pbc="T T T"
S 0.535 4.431 3.142
In -1.504 4.154 0.225
Mo -0.130 2.497 4.435
S 3.587 2.655 3.142
Mo 2.235 1.121 4.435
Ta -0.373 -0.641 4.210
In 4.355 0.746 0.225
S 1.466 2.520 6.186
S 1.569 -0.813 5.727
S 0.638 1.097 2.683
S -1.483 0.962 5.727
```

Properties
Density (g/cm3): 5.4
ΔE_f (raw) (meV per atom): -640
Density of states at the Fermi level (states/eV per atom): 0.45

---

(2)
A plane-wave DFT calculation with PBE was carried out for a geometry-optimized InSb2Mo structure.

```
4
Lattice="5.044 -0.001 0.000 -1.338 4.864 0.000 0.000 0.000 3.605" Properties=species:S:1:pos:R:3 pbc="T T T"
Mo -0.669 2.432 1.803
Sb 1.853 2.431 0.000
Sb 0.000 0.000 0.000
In 2.522 -0.001 1.803
```

Properties
Density (g/cm3): 8.5
ΔE_f (raw) (meV per atom): 511
Density of states at the Fermi level (states/eV per atom): 0.87

---

(3)
A plane-wave DFT calculation with PBE was carried out for a geometry-optimized InSb2Mo structure.

```
4
Lattice="-1.787 2.609 1.121 -2.397 -0.675 -2.249 -3.773 -4.953 5.509" Properties=species:S:1:pos:R:3 pbc="T T T"
In -3.036 -0.271 0.813
Sb -3.567 -4.681 5.207
Sb -2.094 -2.748 3.057
Mo -4.922 -2.748 3.568
```

Properties
Density (g/cm3): 8.1
ΔE_f (raw) (meV per atom): 95
Density of states at the Fermi level (states/eV per atom): 0.86

---

(4)
A plane-wave DFT calculation with PBE was carried out for a geometry-optimized InSbMo2 structure.

```
8
Lattice="-1.606 3.843 6.348 -7.325 -1.858 -0.728 -4.017 -1.385 4.363" Properties=species:S:1:pos:R:3 pbc="T T T"
Sb -5.044 1.726 6.760
Mo -2.951 1.889 5.076
Mo -6.237 -0.262 5.392
In -4.466 0.993 2.810
Sb 0.000 0.000 0.000
In -7.904 -1.125 3.222
Mo -5.756 -1.093 1.321
Mo -10.953 0.667 8.177
```

Properties
Density (g/cm3): 8.6
ΔE_f (raw) (meV per atom): 908
Density of states at the Fermi level (states/eV per atom): 1.13
Offset from the most stable computed form (meV/atom): 762.0

---

(5)
A plane-wave DFT calculation with PBE was carried out for a geometry-optimized InSbMo structure.

```
3
Lattice="4.948 0.000 0.000 -2.474 4.285 0.000 0.000 0.000 2.969" Properties=species:S:1:pos:R:3 pbc="T T T"
Mo 0.000 2.856 1.484
In 0.000 0.000 0.000
Sb 2.474 1.428 1.485
```

Properties
Density (g/cm3): 8.8
ΔE_f (raw) (meV per atom): 498
Density of states at the Fermi level (states/eV per atom): 0.80
Offset from the most stable computed form (meV/atom): 376.2

---

(6)
A plane-wave DFT calculation with PBE was carried out for a geometry-optimized InSbMo2 structure.

```
4
Lattice="-4.347 -0.448 -1.867 -4.553 -0.442 1.286 -1.596 5.188 -0.115" Properties=species:S:1:pos:R:3 pbc="T T T"
Sb -7.872 3.224 -0.522
Mo -1.616 5.140 -0.116
In -2.624 1.075 -0.174
Mo -5.228 2.198 -0.347
```

Properties
Density (g/cm3): 9.4
ΔE_f (raw) (meV per atom): 465
Density of states at the Fermi level (states/eV per atom): 0.69
Offset from the most stable computed form (meV/atom): 318.8

---

(7)
A plane-wave DFT calculation with PBE was carried out for a geometry-optimized InSbMo2 structure.

```
4
Lattice="3.227 0.000 0.000 0.000 3.227 0.000 0.000 0.000 8.141" Properties=species:S:1:pos:R:3 pbc="T T T"
Sb 0.000 0.000 3.537
Mo 1.614 1.614 1.706
Mo 0.000 0.000 0.334
In 1.614 1.614 6.635
```

Properties
Density (g/cm3): 8.4
ΔE_f (raw) (meV per atom): 146
Density of states at the Fermi level (states/eV per atom): 0.26
Offset from the most stable computed form (meV/atom): 0.0

---

(8)
A plane-wave DFT calculation with PBE was carried out for a geometry-optimized InSb2Mo structure.

```
4
Lattice="-1.254 0.849 5.304 4.597 -0.794 2.942 -1.873 3.225 -4.063" Properties=species:S:1:pos:R:3 pbc="T T T"
In -0.728 2.051 2.682
Sb 0.031 0.001 0.075
Sb 1.641 0.027 4.048
Mo 2.198 1.229 1.501
```

Properties
Density (g/cm3): 8.4
ΔE_f (raw) (meV per atom): 508
Density of states at the Fermi level (states/eV per atom): 0.96

---

(9)
A plane-wave DFT calculation with PBE was carried out for a geometry-optimized InSbMo2 structure.

```
4
Lattice="-0.281 0.768 -4.475 -0.535 -2.983 -0.478 -5.556 0.463 0.428" Properties=species:S:1:pos:R:3 pbc="T T T"
Sb -1.663 -0.246 -2.250
In -4.709 -1.506 -2.275
Mo -5.452 0.168 0.371
Mo -3.150 -0.965 0.032
```

Properties
Density (g/cm3): 9.1
ΔE_f (raw) (meV per atom): 517
Density of states at the Fermi level (states/eV per atom): 1.02
Offset from the most stable computed form (meV/atom): 371.1

---

(10)
A plane-wave DFT calculation with PBE was carried out for a geometry-optimized InSbMo2 structure.

```
4
Lattice="-2.537 -3.703 1.601 2.057 -4.274 0.468 0.851 -1.773 4.342" Properties=species:S:1:pos:R:3 pbc="T T T"
In 0.185 -4.875 3.205
Sb 0.093 -2.438 1.603
Mo 0.278 -7.313 4.808
Mo 0.000 0.000 0.000
```

Properties
Density (g/cm3): 9.3
ΔE_f (raw) (meV per atom): 580
Density of states at the Fermi level (states/eV per atom): 1.26
Offset from the most stable computed form (meV/atom): 433.8

---

(11)
A plane-wave DFT calculation with PBE was carried out for a geometry-optimized InSb2Mo structure.

```
4
Lattice="3.310 0.003 0.000 -0.003 3.310 0.000 0.000 0.000 8.394" Properties=species:S:1:pos:R:3 pbc="T T T"
Sb 0.000 0.000 7.897
Sb 1.654 1.657 2.125
In 0.000 0.000 4.578
Mo 1.654 1.657 6.386
```

Properties
Density (g/cm3): 8.2
ΔE_f (raw) (meV per atom): 289
Density of states at the Fermi level (states/eV per atom): 0.66

---

(12)
A plane-wave DFT calculation with PBE was carried out for a geometry-optimized InSbMo structure.

```
3
Lattice="3.315 0.000 0.000 -1.657 2.871 0.000 0.000 0.000 6.865" Properties=species:S:1:pos:R:3 pbc="T T T"
Sb 0.000 1.914 4.300
In 0.000 0.000 0.198
Mo 1.657 0.957 2.368
```

Properties
Density (g/cm3): 8.5
ΔE_f (raw) (meV per atom): 241
Density of states at the Fermi level (states/eV per atom): 0.50
Offset from the most stable computed form (meV/atom): 120.1

---

(13)
A plane-wave DFT calculation with PBE was carried out for a geometry-optimized InSbMo2 structure.

```
4
Lattice="5.253 -0.016 0.000 2.037 4.842 0.000 -3.645 -2.413 2.913" Properties=species:S:1:pos:R:3 pbc="T T T"
Mo 0.000 0.000 0.000
Sb 3.645 2.413 0.000
Mo 1.019 2.421 1.457
In 2.627 -0.008 1.457
```

Properties
Density (g/cm3): 9.6
ΔE_f (raw) (meV per atom): 509
Density of states at the Fermi level (states/eV per atom): 1.15
Offset from the most stable computed form (meV/atom): 362.9

---

(14)
A plane-wave DFT calculation with PBE was carried out for a geometry-optimized InSbMo2 structure.

```
4
Lattice="5.278 -0.010 0.007 4.266 3.108 0.007 1.693 0.550 4.667" Properties=species:S:1:pos:R:3 pbc="T T T"
In 2.872 0.932 0.930
Mo 0.294 0.096 0.125
Sb 5.546 1.800 2.566
Mo 8.144 2.643 3.400
```

Properties
Density (g/cm3): 9.3
ΔE_f (raw) (meV per atom): 336
Density of states at the Fermi level (states/eV per atom): 0.70
Offset from the most stable computed form (meV/atom): 190.1